# PBE Bi3SeI, optimized geometry
data_Bi3SeI
_chemical_formula_sum 'Bi3 Se1 I1'
_cell_length_a 5.661
_cell_length_b 5.661
_cell_length_c 5.661
_cell_angle_alpha 90.00
_cell_angle_beta 90.00
_cell_angle_gamma 90.00
_space_group_name_H-M_alt 'P m -3 m'
_space_group_IT_number 221
_space_group_name_Hall '-P 4 2 3'
loop_
_atom_site_label
_atom_site_type_symbol
_atom_site_fract_x
_atom_site_fract_y
_atom_site_fract_z
_atom_site_occupancy
Bi1 Bi 0.000 0.000 0.500 1
Se1 Se 0.000 0.000 0.000 1
I1 I 0.500 0.500 0.500 1
# N(E_F)	0.329	states/eV/atom
# energy above the most stable polymorph in this dataset	0	meV/atom